{"formula": "YBeTc2", "functional": "GGA-PBE", "state": "relaxed", "cell": [[3.215, 0.000, 0.000], [0.000, 4.106, 0.000], [-1.245, 0.000, 5.192]], "species": ["Y", "Be", "Tc", "Tc"], "fractional_positions": [[0.000, 0.000, 0.000], [0.600, 0.500, 0.233], [0.256, 0.500, 0.578], [0.623, 0.000, 0.477]], "formation_enthalpy_0k_ev_per_atom": 0.108, "crystal_system": "monoclinic", "dos_ef_per_ev_cell": 3.54, "energy_ev_per_atom": -7.62}